VASP calculation (PBE-GGA) on a relaxed structure of Ba2MnAgH6.

Properties
final energy	-3.83	eV per atom
magnetic moment	1.71	Bohr magnetons per cell

abc: 5.7209 5.7207 5.7235
angles: 60.15 60.15 89.97
Last column: nearest neighbours and their distance in Å.
Fractional coordinates of all 10 atoms:
Mn: 0.0000 0.0000 0.0000  6 H 1.72-1.73
H: 0.7884 0.7884 0.4239  1 Mn 1.72
H: 0.7866 0.2134 0.0000  1 Mn 1.73
H: 0.2134 0.7866 0.0000  1 Mn 1.73
H: 0.2138 0.2138 0.9988  1 Mn 1.73
H: 0.7862 0.7862 0.0012  1 Mn 1.73
H: 0.2116 0.2116 0.5761  1 Mn 1.72
Ag: 0.5000 0.5000 0.0000  6 H 2.32-2.34
Ba: 0.7505 0.2495 0.5000  12 H 2.87-2.89
Ba: 0.2495 0.7505 0.5000  12 H 2.87-2.89

=====

VASP calculation (PBE-GGA) on a relaxed structure of VAg2Br6.

Properties
E_form (uncorrected)	-4.6	eV/f.u.
final energy	-3.27	eV per atom
magnetic moment	1.93	Bohr magnetons per cell
energy relative to the lowest polymorph listed for this composition	3.3	kJ/mol of atoms

abc: 6.4275 6.4275 12.2572
angles: 90.00 90.00 90.00
Last column: nearest neighbours and their distance in Å.
Fractional coordinates of all 18 atoms:
Br: 0.8099 0.1901 0.6506  1 V 2.53, 1 Ag 2.82
Br: 0.8099 0.1901 0.3494  1 V 2.53, 1 Ag 2.82
Br: 0.2730 0.2730 0.5000  1 V 2.48
Br: 0.3099 0.3099 0.8494  1 V 2.53, 1 Ag 2.82
Br: 0.7730 0.2270 0.0000  1 V 2.48
Br: 0.1901 0.8099 0.6506  1 V 2.53, 1 Ag 2.82
Br: 0.1901 0.8099 0.3494  1 V 2.53, 1 Ag 2.82
Br: 0.3099 0.3099 0.1506  1 V 2.53, 1 Ag 2.82
Br: 0.7270 0.7270 0.5000  1 V 2.48
Br: 0.6901 0.6901 0.1506  1 V 2.53, 1 Ag 2.82
Br: 0.2270 0.7730 0.0000  1 V 2.48
Br: 0.6901 0.6901 0.8494  1 V 2.53, 1 Ag 2.82
Ag: 0.5000 0.5000 0.3371  6 Br 2.82-2.87
Ag: 0.5000 0.5000 0.6629  6 Br 2.82-2.87
Ag: 0.0000 0.0000 0.1629  6 Br 2.82-2.87
Ag: 0.0000 0.0000 0.8371  6 Br 2.82-2.87
V: 0.0000 0.0000 0.5000  6 Br 2.48-2.53
V: 0.5000 0.5000 0.0000  6 Br 2.48-2.53

=====

VASP calculation (PBE-GGA) on a relaxed structure of BaPm2US8.

Properties
E_form (uncorrected)	-18.5	eV/f.u.
final energy	-6.18	eV per atom
magnetic moment	0.00	Bohr magnetons per cell

abc: 6.8860 5.2264 8.5799
angles: 72.31 89.95 89.30
Last column: nearest neighbours and their distance in Å.
Fractional coordinates of all 12 atoms:
Pm: 0.5340 0.3577 0.8068  8 S 2.84-3.17
Pm: 0.4660 0.6423 0.1932  8 S 2.84-3.17
S: 0.5320 0.8022 0.4972  1 S 2.12
S: 0.3151 0.1841 0.1006  1 U 2.63, 3 Pm 2.84-2.94
S: 0.6849 0.8159 0.8994  1 U 2.63, 3 Pm 2.84-2.94
S: 0.7611 0.2038 0.1447  1 U 2.48
S: 0.4680 0.1978 0.5028  1 S 2.12
S: 0.9410 0.3721 0.7320  1 U 2.55
S: 0.2389 0.7962 0.8553  1 U 2.48
S: 0.0590 0.6279 0.2680  1 U 2.55
Ba: 0.0000 0.0000 0.5000  8 S 3.20-3.40
U: 0.0000 0.0000 0.0000  6 S 2.48-2.63